DyMoW PBE relaxed; DFT formation energy = 0.465 eV/atom; space-group type = Fmmm (69); crystal system = orthorhombic
1.0
0.0000 4.2758 5.1230
2.8640 0.0000 5.1230
2.8640 4.2758 0.0000
Dy Mo W
2 2 2
Cartesian
2.8640 1.5182 5.1230
2.8640 7.0334 5.1230
2.8640 4.2758 3.3283
2.8640 4.2758 6.9177
1.4320 2.1379 2.5615
4.2961 6.4137 7.6845



Y2PtBr PBE relaxed; E above lowest polymorph = 35.6 kJ/mol of atoms; space-group type = C2/m (12); energy relative to the elements, uncorrected = -0.88 eV/atom; crystal system = monoclinic
1.0
3.5943 -3.7703 0.0000
3.5943 3.7703 0.0000
-0.0113 0.0000 3.3841
Y Pt Br
2 1 1
Cartesian
1.7972 1.8851 0.0000
1.7972 -1.8851 0.0000
-0.0056 0.0000 1.6920
3.5887 0.0000 1.6920



Values of total DFT energy (no corrections), in order: -53.982 -24.149, all in eV per cell.
Values of spin magnetization, in order: 0.000 0.000, all in μB per formula unit.